Entry 1:
The following is a DFT calculation (PBE) of Pm8Co3CI3 after structural relaxation.

Computed properties:
density of states at the Fermi level	9.6	states/eV/f.u.
total moment	0.000	μB per atom
ΔE_f (raw)	-0.438	eV per atom

```
data_Pm8Co3CI3
_chemical_formula_sum 'Pm16 Co6 C2 I6'
_cell_length_a 13.8529
_cell_length_b 8.0026
_cell_length_c 9.2742
_cell_angle_alpha 90.00
_cell_angle_beta 119.91
_cell_angle_gamma 90.00
_symmetry_space_group_name_H-M 'C 1 2/m 1'
_symmetry_Int_Tables_number 12
loop_
_symmetry_equiv_pos_as_xyz
'x,y,z'
'-x,-y,-z'
'-x,y,-z'
'x,-y,z'
'x+1/2,y+1/2,z'
'-x+1/2,-y+1/2,-z'
'-x+1/2,y+1/2,-z'
'x+1/2,-y+1/2,z'
loop_
_atom_site_label
_atom_site_type_symbol
_atom_site_fract_x
_atom_site_fract_y
_atom_site_fract_z
Pm1 Pm 0.0229 0.2389 0.3293
Pm2 Pm 0.2161 0.0000 0.6711
Pm3 Pm 0.2280 0.5000 0.6837
Co1 Co 0.0000 0.5000 0.5000
Co2 Co 0.2500 0.2500 0.5000
C1 C 0.0000 0.0000 0.5000
I1 I 0.0000 0.0000 0.0000
I2 I 0.2500 0.2500 0.0000
```



Entry 2:
The following is a DFT calculation (PBE) of Pm6Co2CI3 after structural relaxation.

Computed properties:
density of states at the Fermi level	11.2	states/eV/f.u.
total moment	0.000	μB per atom
ΔE_f (raw)	-0.587	eV per atom

```
data_Pm6Co2CI3
_chemical_formula_sum 'Pm12 Co4 C2 I6'
_cell_length_a 6.9604
_cell_length_b 12.0448
_cell_length_c 8.2383
_cell_angle_alpha 90.00
_cell_angle_beta 106.30
_cell_angle_gamma 90.00
_symmetry_space_group_name_H-M 'C 1 2/m 1'
_symmetry_Int_Tables_number 12
loop_
_symmetry_equiv_pos_as_xyz
'x,y,z'
'-x,-y,-z'
'-x,y,-z'
'x,-y,z'
'x+1/2,y+1/2,z'
'-x+1/2,-y+1/2,-z'
'-x+1/2,y+1/2,-z'
'x+1/2,-y+1/2,z'
loop_
_atom_site_label
_atom_site_type_symbol
_atom_site_fract_x
_atom_site_fract_y
_atom_site_fract_z
Pm1 Pm 0.2166 0.1589 0.1750
Pm2 Pm 0.2400 0.5000 0.1758
Co1 Co 0.0000 0.3331 0.0000
C1 C 0.0000 0.0000 0.0000
I1 I 0.0000 0.1672 0.5000
I2 I 0.0000 0.5000 0.5000
```